[1]
Compound: LiPuZnCd
Source: the Alexandria database
Functional: PBE
Structure: relaxed

abc: 4.885 4.885 4.885
angles: 60.00 60.00 60.00
Site moments in Bohr magnetons follow the coordinates.
Fractional positions:
1 Cd 0.750 0.750 0.750  -0.01
2 Li 0.500 0.500 0.500  0.06
3 Pu 0.250 0.250 0.250  5.39
4 Zn 0.000 0.000 0.000  0.02

Properties
Energy above the most stable polymorph in this dataset in meV per atom: 142
Space-group type: F-43m
DOS at the Fermi energy in states/eV per atom: 3.78

[2]
Compound: PmEr4Cd
Source: the Alexandria database
Functional: PBE
Structure: relaxed

abc: 3.557 3.557 14.064
angles: 90.00 90.00 90.00
Fractional positions:
1 Er 0.500 0.500 0.179
2 Er 0.000 0.000 0.354
3 Er 0.500 0.500 0.821
4 Er 0.000 0.000 0.646
5 Cd 0.500 0.500 0.500
6 Pm 0.000 0.000 0.000

Properties
Energy above the most stable polymorph in this dataset in meV per atom: 0
Space-group type: P4/mmm
DOS at the Fermi energy in states/eV per atom: 1.45

[3]
Compound: DyEr12Tm2
Source: the Alexandria database
Functional: PBE
Structure: relaxed

abc: 6.629 6.629 23.145
angles: 92.36 87.64 65.40
Fractional positions:
1 Tm 0.928 0.572 0.284
2 Tm 0.572 0.928 0.716
3 Tm 0.072 0.428 0.715
4 Tm 0.428 0.072 0.285
5 Er 0.481 0.519 0.067
6 Er 0.519 0.481 0.933
7 Er 0.141 0.861 0.443
8 Er 0.356 0.144 0.576
9 Er 0.299 0.700 0.807
10 Er 0.201 0.800 0.193
11 Er 0.861 0.141 0.557
12 Er 0.359 0.639 0.557
13 Er 0.981 0.019 0.067
14 Er 0.581 0.419 0.678
15 Er 0.213 0.287 0.148
16 Er 0.419 0.581 0.322
17 Er 0.919 0.081 0.322
18 Er 0.639 0.359 0.443
19 Er 0.800 0.201 0.807
20 Er 0.287 0.213 0.852
21 Er 0.787 0.713 0.852
22 Er 0.019 0.981 0.933
23 Er 0.854 0.646 0.576
24 Er 0.144 0.356 0.424
25 Er 0.646 0.854 0.424
26 Er 0.081 0.919 0.678
27 Er 0.713 0.787 0.148
28 Er 0.700 0.299 0.193
29 Dy 0.000 0.500 0.000
30 Dy 0.500 0.000 0.000

Properties
Space-group type: C2/m
DOS at the Fermi energy in states/eV per atom: 1.63

[4]
Compound: Ba2AsH
Source: the Alexandria database
Functional: PBE
Structure: relaxed

abc: 4.525 4.525 7.956
angles: 73.48 73.48 60.00
Fractional positions:
1 Ba 0.082 0.082 0.755
2 Ba 0.250 0.250 0.249
3 H 0.669 0.669 0.993
4 As 0.499 0.499 0.502

Properties
Energy above the most stable polymorph in this dataset in meV per atom: 98
Space-group type: R3m

[5]
Compound: TlTc2Au
Source: the Alexandria database
Functional: PBE
Structure: relaxed

abc: 2.844 2.844 9.624
angles: 90.00 90.00 115.25
Fractional positions:
1 Tc 0.000 0.000 0.996
2 Tc 0.000 0.000 0.504
3 Tl 0.500 0.500 0.250
4 Au 0.500 0.500 0.750

Properties
Energy above the most stable polymorph in this dataset in meV per atom: 546
Space-group type: Cmmm
DOS at the Fermi energy in states/eV per atom: 1.22

[6]
Compound: LiErTh2
Source: the Alexandria database
Functional: PBE
Structure: relaxed

abc: 3.480 3.480 11.646
angles: 81.41 81.41 60.00
Fractional positions:
1 Th 0.082 0.082 0.753
2 Th 0.251 0.251 0.246
3 Li 0.667 0.667 0.999
4 Er 0.500 0.500 0.501

Properties
Energy above the most stable polymorph in this dataset in meV per atom: 0
Space-group type: R3m
DOS at the Fermi energy in states/eV per atom: 1.45

Number 1: total DFT energy (no corrections) -4.59 eV per atom. Number 2: total DFT energy (no corrections) -4.07 eV per atom. Number 3: total DFT energy (no corrections) -4.48 eV per atom. Number 4: total DFT energy (no corrections) -3.67 eV per atom. Number 5: total DFT energy (no corrections) -5.77 eV per atom. Number 6: total DFT energy (no corrections) -5.19 eV per atom.